VASP calculation (PBE-GGA) on a relaxed CdCu2HgF8 crystal.

abc: 5.504 5.504 6.656
angles: 114.42 114.42 90.00
Each line ends with the local moment (μB).
Element x y z (fractional)
Cu  0.250  0.750  0.500  0.71
F  0.717  0.845  0.111  0.07
F  0.602  0.662  0.617  0.07
Cd  0.000  0.000  0.000  0.01
F  0.155  0.605  0.889  0.07
F  0.395  0.267  0.111  0.07
F  0.045  0.398  0.383  0.07
F  0.338  0.985  0.383  0.07
F  0.733  0.283  0.889  0.07
F  0.015  0.955  0.617  0.07
Hg  0.750  0.250  0.500  0.01
Cu  0.500  0.500  0.000  0.71

Calculated values
E_form (uncorrected) in eV per atom: -1.606
Uncorrected energy in eV/atom: -3.638
Space group: I-4, No. 82